Entry from Alexandria: Ca2SnIrO6 after structural relaxation (PBEsol).

Unit cell a=5.4345 b=5.6464 c=9.4261 alpha=90.00 beta=124.41 gamma=90.00
With the nearest neighbours (Å) after each atom.
Space group P2_1/c (No. 14)
One atom of each set of equivalent atoms:
Ca1 0.2312 0.0599 0.2490 x4  6 O 2.30-2.57
Sn1 0.5000 0.0000 0.0000 x2  6 O 2.07-2.08
Ir1 0.0000 0.0000 0.5000 x2  6 O 2.01-2.02
O1 0.1344 0.2016 0.9449 x4  1 Ir 2.02, 1 Sn 2.08
O2 0.2441 0.6973 0.9437 x4  1 Ir 2.02, 1 Sn 2.07
O3 0.3530 0.0388 0.7450 x4  1 Ir 2.01, 1 Sn 2.07

Properties
ρ in g cm⁻³: 6.78
Magnetic moment in μB per cell: 1.120
Raw total energy in eV per cell: -138.8

***

Entry from Alexandria: Sr2CaIrO6 after structural relaxation (PBEsol).

Unit cell a=5.7221 b=5.8556 c=9.9249 alpha=90.00 beta=124.81 gamma=90.00
With the nearest neighbours (Å) after each atom.
Space group P2_1/c (No. 14)
One atom of each set of equivalent atoms:
Sr1 0.2391 0.0471 0.2503 x4  6 O 2.50-2.75
Ca1 0.5000 0.0000 0.0000 x2  6 O 2.26-2.28
Ir1 0.0000 0.0000 0.5000 x2  6 O 1.94
O1 0.1387 0.2293 0.9532 x4  1 Ir 1.94
O2 0.2310 0.6899 0.9592 x4  1 Ir 1.94
O3 0.3113 0.0253 0.7293 x4  1 Ir 1.94

Properties
ρ in g cm⁻³: 6.12
Magnetic moment in μB per cell: 5.656
Raw total energy in eV per cell: -137.3

***

Entry from Alexandria: SrCa3IrO6 after structural relaxation (PBEsol).

Unit cell a=9.1721 b=9.4749 c=6.6212 alpha=90.00 beta=90.95 gamma=90.00
With the nearest neighbours (Å) after each atom.
Space group C2 (No. 5)
One atom of each set of equivalent atoms:
Sr1 0.1838 0.0000 0.1347 x4  8 O 2.46-2.74
Ca1 0.0000 0.1808 0.5000 x2  6 O 2.30-2.35
Ca2 0.0000 0.3233 0.0000 x2  6 O 2.40-2.52
Ca3 0.0000 0.5407 0.5000 x2  6 O 2.41-2.46
Ca4 0.0000 0.6823 0.0000 x2  6 O 2.33
Ca5 0.1809 0.8603 0.6384 x4  6 O 2.35-2.55
Ir1 0.2471 0.6824 0.2531 x4  6 O 2.01-2.05
O1 0.0606 0.7888 0.3078 x4  1 Ir 2.02
O2 0.0687 0.0724 0.7970 x4  1 Ir 2.02
O3 0.1258 0.5085 0.1792 x4  1 Ir 2.04
O4 0.1289 0.3526 0.6701 x4  1 Ir 2.03
O5 0.2410 0.7521 0.9596 x4  1 Ir 2.05
O6 0.2459 0.1195 0.4568 x4  1 Ir 2.01

Properties
ρ in g cm⁻³: 5.73
Magnetic moment in μB per cell: 4.119
Raw total energy in eV per cell: -303.4

***

Entry from Alexandria: Sr2Ca2IrO6 after structural relaxation (PBEsol).

Unit cell a=9.3947 b=9.5488 c=6.6579 alpha=90.00 beta=91.96 gamma=90.00
With the nearest neighbours (Å) after each atom.
Space group C2 (No. 5)
One atom of each set of equivalent atoms:
Sr1 0.0000 0.0000 0.0000 x2  8 O 2.48-2.72
Sr2 0.0000 0.2298 0.5000 x2  8 O 2.49-2.77
Sr3 0.1813 0.5471 0.6365 x4  8 O 2.48-2.74
Ca1 0.0000 0.3642 0.0000 x2  6 O 2.30-2.33
Ca2 0.0000 0.8652 0.5000 x2  6 O 2.30-2.35
Ca3 0.1785 0.6856 0.1413 x4  6 O 2.41-2.55
Ir1 0.2475 0.8636 0.7529 x4  6 O 2.02-2.06
O1 0.0632 0.7584 0.8073 x4  1 Ir 2.04
O2 0.0701 0.4720 0.2967 x4  1 Ir 2.04
O3 0.1342 0.0373 0.6729 x4  1 Ir 2.03
O4 0.1357 0.1935 0.1651 x4  1 Ir 2.02
O5 0.2322 0.7969 0.4595 x4  1 Ir 2.06
O6 0.2375 0.4231 0.9567 x4  1 Ir 2.02

Properties
ρ in g cm⁻³: 6.05
Magnetic moment in μB per cell: 4.149
Raw total energy in eV per cell: -301.9

***

Entry from Alexandria: Ca2TiIrO6 after structural relaxation (PBEsol).

Unit cell a=5.3508 b=5.4933 c=9.3153 alpha=90.00 beta=124.88 gamma=90.00
With the nearest neighbours (Å) after each atom.
Space group P2_1/c (No. 14)
One atom of each set of equivalent atoms:
Ca1 0.2374 0.0514 0.2495 x4  6 O 2.32-2.57
Ti1 0.5000 0.0000 0.0000 x2  6 O 1.94-1.96
Ir1 0.0000 0.0000 0.5000 x2  6 O 1.99-2.00
O1 0.1626 0.2030 0.9571 x4  1 Ti 1.96, 1 Ir 1.99
O2 0.2541 0.7095 0.9551 x4  1 Ti 1.96, 1 Ir 2.00
O3 0.3373 0.0219 0.7528 x4  1 Ti 1.94, 1 Ir 1.99

Properties
ρ in g cm⁻³: 6.15
Magnetic moment in μB per cell: 1.798
Raw total energy in eV per cell: -156.6

***

Entry from Alexandria: Ca2VIrO6 after structural relaxation (PBEsol).

Unit cell a=5.2882 b=5.4514 c=9.1985 alpha=90.00 beta=124.79 gamma=90.00
With the nearest neighbours (Å) after each atom.
Space group P2_1/c (No. 14)
One atom of each set of equivalent atoms:
Ca1 0.2354 0.0539 0.2489 x4  6 O 2.29-2.54
V1 0.5000 0.0000 0.0000 x2  6 O 1.88-1.90
Ir1 0.0000 0.0000 0.5000 x2  6 O 2.01-2.03
O1 0.1676 0.1960 0.9578 x4  1 V 1.90, 1 Ir 2.02
O2 0.2601 0.7146 0.9540 x4  1 V 1.90, 1 Ir 2.03
O3 0.3448 0.0193 0.7585 x4  1 V 1.88, 1 Ir 2.01

Properties
ρ in g cm⁻³: 6.39
Magnetic moment in μB per cell: 0.001
Raw total energy in eV per cell: -156.0